# GGA+U BaMoBrF2, optimized geometry
# V = 164.4 Å³/f.u.
# final energy = -23.1 eV for the cell shown
# space-group type = P4/mmm (123)
data_BaMoBrF2
_cell_length_a 4.924
_cell_length_b 4.924
_cell_length_c 6.778
_cell_angle_alpha 90.00
_cell_angle_beta 90.00
_cell_angle_gamma 90.00
_space_group_name_H-M_alt 'P 1'
_space_group_IT_number 1
loop_
_space_group_symop_operation_xyz
'x,y,z'
loop_
_atom_site_label
_atom_site_type_symbol
_atom_site_fract_x
_atom_site_fract_y
_atom_site_fract_z
_atom_site_occupancy
Ba1 Ba 0.000 0.000 0.000 1
Mo1 Mo 0.500 0.500 0.500 1
Br1 Br 0.000 0.000 0.500 1
F1 F 0.000 0.500 0.000 1
F2 F 0.500 0.000 0.000 1